Record 1
{"formula": "Pr8Ho5Sc", "functional": "GGA-PBE", "state": "relaxed", "lattice": [[-5.957, -0.587, -6.839], [-0.600, -5.017, 7.259], [0.479, 6.924, 5.867]], "species": ["Pr", "Pr", "Pr", "Pr", "Pr", "Pr", "Pr", "Pr", "Ho", "Ho", "Ho", "Ho", "Ho", "Sc"], "frac_coords": [[0.119, 0.697, 0.049], [0.981, 0.052, 0.563], [0.016, 0.437, 0.334], [0.599, 0.374, 0.887], [0.513, 0.626, 0.225], [0.511, 0.948, 0.930], [0.351, 0.303, 0.421], [0.897, 0.563, 0.579], [0.971, 0.240, 0.934], [0.931, 0.830, 0.199], [0.694, 0.760, 0.731], [0.502, 0.000, 0.502], [0.370, 0.170, 0.101], [0.295, 0.500, 0.795]], "total_magnetization_mub_per_atom": 0.000, "ef_ev_per_atom": 0.1764, "sg": "C2 (5)"}

=====

Record 2
{"formula": "Y2RuPb", "functional": "GGA-PBE", "state": "relaxed", "lattice": [[9.380, 0.034, 0.020], [8.679, 3.559, 0.020], [8.679, 1.727, 3.112]], "species": ["Pb", "Ru", "Y", "Y"], "frac_coords": [[0.250, 0.250, 0.250], [0.750, 0.750, 0.750], [0.014, 0.014, 0.014], [0.486, 0.486, 0.486]], "total_magnetization_mub_per_atom": 0.000, "ef_ev_per_atom": -0.2332, "sg": "R-3m (166)"}

=====

Record 3
{"formula": "Ba3Pa2Cl2O5", "functional": "GGA-PBE", "state": "relaxed", "lattice": [[-3.230, -2.326, -1.318], [2.572, -2.138, -2.530], [2.871, -7.354, 12.611]], "species": ["Ba", "Ba", "Ba", "Pa", "Pa", "Cl", "Cl", "O", "O", "O", "O", "O"], "frac_coords": [[0.170, 0.170, 0.341], [0.830, 0.830, 0.659], [0.000, 0.000, 0.000], [0.420, 0.420, 0.840], [0.580, 0.580, 0.160], [0.711, 0.711, 0.422], [0.289, 0.289, 0.578], [0.609, 0.109, 0.219], [0.391, 0.891, 0.781], [0.109, 0.609, 0.219], [0.891, 0.391, 0.781], [0.500, 0.500, 0.000]], "total_magnetization_mub_per_atom": 0.278, "formation_energy_uncorrected_ev_per_fu": -33.02, "sg": "I4/mmm (139)"}

=====

Record 4
{"formula": "CaBeSiPt2", "functional": "GGA-PBE", "state": "relaxed", "lattice": [[3.995, 0.000, 0.000], [0.000, 3.995, 0.000], [-1.998, -1.998, 5.379]], "species": ["Ca", "Be", "Si", "Pt", "Pt"], "frac_coords": [[0.000, 0.000, 0.000], [0.750, 0.250, 0.500], [0.250, 0.750, 0.500], [0.630, 0.630, 0.260], [0.370, 0.370, 0.740]], "total_magnetization_mub_per_atom": 0.000, "formation_energy_uncorrected_ev_per_fu": -4.19, "relative_energy_ev_per_fu": 0.000, "sg": "I-4m2 (119)"}

=====

Record 5
{"formula": "Tb6CePm3Dy2", "functional": "GGA-PBE", "state": "relaxed", "lattice": [[-6.161, 0.696, 0.228], [2.448, -5.243, -2.239], [1.112, -3.117, 11.380]], "species": ["Tb", "Tb", "Tb", "Tb", "Tb", "Tb", "Ce", "Pm", "Pm", "Pm", "Dy", "Dy"], "frac_coords": [[0.918, 0.586, 0.753], [0.751, 0.751, 0.247], [0.082, 0.414, 0.247], [0.586, 0.918, 0.753], [0.249, 0.249, 0.753], [0.414, 0.082, 0.247], [0.000, 0.000, 0.000], [0.167, 0.833, 0.500], [0.833, 0.167, 0.500], [0.500, 0.500, 0.500], [0.333, 0.667, 0.000], [0.667, 0.333, 0.000]], "total_magnetization_mub_per_atom": 0.098, "ef_ev_per_atom": 0.0336, "sg": "C2/m (12)"}

=====

Record 6
{"formula": "Li7AgPd2", "functional": "GGA-PBE", "state": "relaxed", "lattice": [[-2.519, -2.338, 2.672], [4.333, -0.169, 0.390], [-0.267, 7.311, 6.146]], "species": ["Li", "Li", "Li", "Li", "Li", "Li", "Li", "Ag", "Pd", "Pd"], "frac_coords": [[0.667, 0.333, 0.573], [0.667, 0.333, 0.822], [0.000, 0.000, 0.659], [0.000, 0.000, 0.280], [0.333, 0.667, 0.448], [0.333, 0.667, 0.143], [0.667, 0.333, 0.066], [0.000, 0.000, 0.945], [0.333, 0.667, 0.764], [0.667, 0.333, 0.318]], "total_magnetization_mub_per_atom": 0.000, "ef_ev_per_atom": -0.2104, "relative_energy_ev_per_fu": 0.000, "sg": "P3m1 (156)"}

=====

Record 7
{"formula": "BaLiIn2Pt", "functional": "GGA-PBE", "state": "relaxed", "lattice": [[-4.465, -2.655, 0.602], [2.715, -4.427, 0.616], [0.194, 0.823, 5.066]], "species": ["Li", "Ba", "Pt", "In", "In"], "frac_coords": [[0.000, 0.000, 0.500], [0.500, 0.500, 0.500], [0.000, 0.000, 0.000], [0.000, 0.500, 0.000], [0.500, 0.000, 0.000]], "total_magnetization_mub_per_atom": 0.000, "ef_ev_per_atom": -0.4411, "sg": "P4/mmm (123)"}

=====

Record 8
{"formula": "YFeCl2", "functional": "GGA-PBE", "state": "relaxed", "lattice": [[-2.518, 1.599, -1.383], [-1.709, -0.316, 2.746], [3.905, 9.167, 3.487]], "species": ["Y", "Fe", "Cl", "Cl"], "frac_coords": [[0.500, 0.500, 0.750], [0.500, 0.500, 0.250], [0.000, 0.000, 0.903], [0.000, 0.000, 0.597]], "total_magnetization_mub_per_atom": 0.864, "formation_energy_uncorrected_ev_per_fu": -2.03, "relative_energy_ev_per_fu": 1.259, "sg": "Pmmm (47)"}